Entry 1:
The following is a DFT calculation (PBE-GGA) of an optimized crystal structure of Ce3Hg4Rh4.

Structure (CIF):
```
data_Ce3Hg4Rh4
_cell_length_a 3.676
_cell_length_b 8.253
_cell_length_c 15.668
_cell_angle_alpha 90.00
_cell_angle_beta 90.00
_cell_angle_gamma 90.00
_symmetry_space_group_name_H-M 'I m m m'
_symmetry_Int_Tables_number 71
_symmetry_space_group_name_Hall '-I 2 2'
loop_
_atom_site_label
_atom_site_type_symbol
_atom_site_fract_x
_atom_site_fract_y
_atom_site_fract_z
_atom_site_occupancy
Ce1 Ce 0.000 0.000 0.000 1
Ce2 Ce 0.000 0.500 0.115 1
Hg1 Hg 0.000 0.320 0.337 1
Rh1 Rh 0.000 0.000 0.264 1
Rh2 Rh 0.000 0.184 0.500 1
```

Calculated values
Formation energy from the elements in kJ/mol of formula units: -473


Entry 2:
The following is a DFT calculation (PBE-GGA) of an optimized crystal structure of Th2PaO.

Structure (CIF):
```
data_Th2PaO
_cell_length_a 3.3048
_cell_length_b 3.3048
_cell_length_c 29.7768
_cell_angle_alpha 90.00
_cell_angle_beta 90.00
_cell_angle_gamma 120.00
_symmetry_space_group_name_H-M 'R -3 m'
_symmetry_Int_Tables_number 166
_symmetry_space_group_name_Hall '-R 3 2"'
loop_
_atom_site_label
_atom_site_type_symbol
_atom_site_fract_x
_atom_site_fract_y
_atom_site_fract_z
_atom_site_occupancy
Th1 Th 0.0000 0.0000 0.1101 1
Pa1 Pa 0.0000 0.0000 0.0000 1
O1 O 0.0000 0.0000 0.5000 1
```

Calculated values
Total DFT energy (no corrections) in eV/atom: -8.163


Entry 3:
The following is a DFT calculation (PBE-GGA) of an optimized crystal structure of HfMnV.

Structure (CIF):
```
data_HfMnV
_cell_length_a 3.7689
_cell_length_b 3.7689
_cell_length_c 4.0038
_cell_angle_alpha 90.00
_cell_angle_beta 90.00
_cell_angle_gamma 120.00
_symmetry_space_group_name_H-M 'P -6 m 2'
_symmetry_Int_Tables_number 187
_symmetry_space_group_name_Hall 'P -6 2'
loop_
_atom_site_label
_atom_site_type_symbol
_atom_site_fract_x
_atom_site_fract_y
_atom_site_fract_z
_atom_site_occupancy
Hf1 Hf 0.0000 0.0000 0.0000 1
Mn1 Mn 0.3333 0.6667 0.5000 1
V1 V 0.6667 0.3333 0.5000 1
```

Calculated values
Energy relative to the lowest polymorph listed for this composition in meV per atom: 462
Formation energy from the elements in kJ/mol of formula units: 66